First-principles (PBE+U) data for a relaxed structure of NaMnRuO4, as listed in Alexandria.

Lattice parameters (Å, degrees): 6.3993 6.1689 6.3991 121.24 90.00 121.24
Closest atoms and distances in Å follow each position.
Positions (direct):
Na1 0.8784 0.7568 0.1284  4 O 2.21-2.23
Na2 0.1216 0.2432 0.8716  4 O 2.21-2.23
O1 0.7381 0.4762 0.2798  1 Ru 2.01, 2 Mn 2.08, 1 Na 2.21
O2 0.2619 0.5238 0.7202  1 Ru 2.01, 2 Mn 2.08, 1 Na 2.21
O3 0.3139 0.0341 0.2670  1 Mn 1.98, 2 Ru 2.07
O4 0.6861 0.9659 0.7330  1 Mn 1.98, 2 Ru 2.07
O5 0.7381 0.4762 0.6964  1 Ru 2.01, 2 Mn 2.08, 1 Na 2.21
O6 0.2619 0.5238 0.3036  1 Ru 2.01, 2 Mn 2.08, 1 Na 2.21
O7 0.7201 0.0341 0.2670  1 Mn 1.98, 2 Ru 2.07
O8 0.2799 0.9659 0.7330  1 Mn 1.98, 2 Ru 2.07
Ru1 0.5000 0.0000 0.0000  6 O 2.01-2.07
Ru2 0.5000 0.0000 0.5000  6 O 2.01-2.07
Mn1 0.5000 0.5000 0.5000  6 O 1.98-2.08
Mn2 0.0000 0.5000 0.5000  6 O 1.98-2.08

Symmetry: Imma, No. 74
Crystal system: orthorhombic
E_tot: -6.676 eV/atom